# K2BaHgBi2 | OQMD via LeMat-Bulk | GGA-PBE | relaxed
data_K2BaHgBi2
_cell_length_a 5.5954
_cell_length_b 5.5954
_cell_length_c 8.2752
_cell_angle_alpha 90.00
_cell_angle_beta 90.00
_cell_angle_gamma 120.00
_symmetry_space_group_name_H-M 'P -6 m 2'
_symmetry_Int_Tables_number 187
_symmetry_space_group_name_Hall 'P -6 2'
loop_
_atom_site_label
_atom_site_fract_x
_atom_site_fract_y
_atom_site_fract_z
K1 0.0000 0.0000 0.2342
Ba1 0.6667 0.3333 0.5000
Hg1 0.3333 0.6667 0.0000
Bi1 0.3333 0.6667 0.5000
Bi2 0.6667 0.3333 0.0000
# **Total energy**: -2.4428 eV/atom


# CsAlInAu | OQMD via LeMat-Bulk | GGA-PBE | relaxed
data_CsAlInAu
_cell_length_a 7.724
_cell_length_b 7.724
_cell_length_c 7.724
_cell_angle_alpha 90.00
_cell_angle_beta 90.00
_cell_angle_gamma 90.00
_symmetry_space_group_name_H-M 'F -4 3 m'
_symmetry_Int_Tables_number 216
_symmetry_space_group_name_Hall 'F -4 2 3'
loop_
_atom_site_label
_atom_site_fract_x
_atom_site_fract_y
_atom_site_fract_z
Cs1 0.000 0.000 0.000
Al1 0.250 0.250 0.250
In1 0.000 0.000 0.500
Au1 0.250 0.250 0.750
# **ΔE to the lowest computed polymorph**: 0.000 eV per atom
# **Total energy**: -2.3150 eV/atom


# TlCuSiTe3 | OQMD via LeMat-Bulk | GGA-PBE | relaxed
data_TlCuSiTe3
_cell_length_a 11.685
_cell_length_b 4.142
_cell_length_c 13.212
_cell_angle_alpha 90.00
_cell_angle_beta 90.00
_cell_angle_gamma 90.00
_symmetry_space_group_name_H-M 'P n m a'
_symmetry_Int_Tables_number 62
_symmetry_space_group_name_Hall '-P 2ac 2n'
loop_
_atom_site_label
_atom_site_fract_x
_atom_site_fract_y
_atom_site_fract_z
Tl1 0.237 0.250 0.006
Cu1 0.233 0.250 0.331
Si1 0.042 0.250 0.734
Te1 0.023 0.250 0.401
Te2 0.045 0.750 0.877
Te3 0.236 0.750 0.209
# **Total energy**: -3.5168 eV/atom


# ZnBNO | OQMD via LeMat-Bulk | GGA-PBE | relaxed
data_ZnBNO
_cell_length_a 2.817
_cell_length_b 5.201
_cell_length_c 4.676
_cell_angle_alpha 90.00
_cell_angle_beta 90.00
_cell_angle_gamma 90.00
_symmetry_space_group_name_H-M 'P m c 21'
_symmetry_Int_Tables_number 26
_symmetry_space_group_name_Hall 'P 2c -2'
loop_
_atom_site_label
_atom_site_fract_x
_atom_site_fract_y
_atom_site_fract_z
Zn1 0.000 0.175 0.000
B1 0.500 0.376 0.519
N1 0.500 0.394 0.836
O1 0.000 0.205 0.430
# **ΔE to the lowest computed polymorph**: 0.175 eV per atom
# **Total energy**: -6.2942 eV/atom


# NbMo2Ir | OQMD via LeMat-Bulk | GGA-PBE | relaxed
data_NbMo2Ir
_cell_length_a 6.357
_cell_length_b 6.357
_cell_length_c 6.357
_cell_angle_alpha 90.00
_cell_angle_beta 90.00
_cell_angle_gamma 90.00
_symmetry_space_group_name_H-M 'F -4 3 m'
_symmetry_Int_Tables_number 216
_symmetry_space_group_name_Hall 'F -4 2 3'
loop_
_atom_site_label
_atom_site_fract_x
_atom_site_fract_y
_atom_site_fract_z
Nb1 0.000 0.000 0.000
Mo1 0.000 0.000 0.500
Mo2 0.250 0.250 0.750
Ir1 0.250 0.250 0.250
# **Size of the total moment**: 0.02 μB per cell
# **Total energy**: -10.2010 eV/atom
# **Energy of formation from the pure elements**: -0.040 eV per atom


# Al3Ir | OQMD via LeMat-Bulk | GGA-PBE | relaxed
data_Al3Ir
_cell_length_a 3.902
_cell_length_b 3.902
_cell_length_c 7.652
_cell_angle_alpha 90.00
_cell_angle_beta 90.00
_cell_angle_gamma 90.00
_symmetry_space_group_name_H-M 'I 4/m m m'
_symmetry_Int_Tables_number 139
_symmetry_space_group_name_Hall '-I 4 2'
loop_
_atom_site_label
_atom_site_fract_x
_atom_site_fract_y
_atom_site_fract_z
Al1 0.000 0.000 0.000
Al2 0.000 0.500 0.250
Ir1 0.000 0.000 0.500
# **Size of the total moment**: 0.00 μB per cell
# **Total energy**: -5.5061 eV/atom


# LuZnCo | OQMD via LeMat-Bulk | GGA-PBE | relaxed
data_LuZnCo
_cell_length_a 6.261
_cell_length_b 6.261
_cell_length_c 6.261
_cell_angle_alpha 90.00
_cell_angle_beta 90.00
_cell_angle_gamma 90.00
_symmetry_space_group_name_H-M 'F -4 3 m'
_symmetry_Int_Tables_number 216
_symmetry_space_group_name_Hall 'F -4 2 3'
loop_
_atom_site_label
_atom_site_fract_x
_atom_site_fract_y
_atom_site_fract_z
Lu1 0.000 0.000 0.000
Zn1 0.250 0.250 0.250
Co1 0.250 0.250 0.750
# **Size of the total moment**: 0.06 μB per cell
# **Total energy**: -3.7679 eV/atom
# **Energy of formation from the pure elements**: 0.530 eV per atom


# Nb4Mo2As3N3 | OQMD via LeMat-Bulk | GGA-PBE | relaxed
data_Nb4Mo2As3N3
_cell_length_a 9.823
_cell_length_b 5.689
_cell_length_c 12.532
_cell_angle_alpha 90.00
_cell_angle_beta 105.15
_cell_angle_gamma 90.00
_symmetry_space_group_name_H-M 'C 1 2/c 1'
_symmetry_Int_Tables_number 15
_symmetry_space_group_name_Hall '-C 2yc'
loop_
_atom_site_label
_atom_site_fract_x
_atom_site_fract_y
_atom_site_fract_z
Nb1 0.113 0.101 0.092
Nb2 0.228 0.073 0.409
Mo1 0.043 0.425 0.910
As1 0.000 0.096 0.750
As2 0.161 0.421 0.251
N1 0.087 0.242 0.500
N2 0.250 0.250 0.000
# **Size of the total moment**: 0.00 μB per cell
# **Total energy**: -8.9150 eV/atom


# Tm3Re3W2N12 | OQMD via LeMat-Bulk | GGA-PBE | relaxed
data_Tm3Re3W2N12
_cell_length_a 12.594
_cell_length_b 12.594
_cell_length_c 12.594
_cell_angle_alpha 90.00
_cell_angle_beta 90.00
_cell_angle_gamma 90.00
_symmetry_space_group_name_H-M 'I a -3 d'
_symmetry_Int_Tables_number 230
_symmetry_space_group_name_Hall '-I 4bd 2c 3'
loop_
_atom_site_label
_atom_site_fract_x
_atom_site_fract_y
_atom_site_fract_z
Tm1 0.000 0.250 0.125
Re1 0.000 0.250 0.375
W1 0.000 0.000 0.000
N1 0.031 0.054 0.650
# **Size of the total moment**: 0.05 μB per cell
# **Total energy**: -9.4101 eV/atom


# PrNdAl2 | OQMD via LeMat-Bulk | GGA-PBE | relaxed
data_PrNdAl2
_cell_length_a 6.029
_cell_length_b 5.743
_cell_length_c 6.030
_cell_angle_alpha 90.00
_cell_angle_beta 100.89
_cell_angle_gamma 90.00
_symmetry_space_group_name_H-M 'P 1 21/m 1'
_symmetry_Int_Tables_number 11
_symmetry_space_group_name_Hall '-P 2yb'
loop_
_atom_site_label
_atom_site_fract_x
_atom_site_fract_y
_atom_site_fract_z
Pr1 0.161 0.250 0.020
Nd1 0.480 0.750 0.339
Al1 0.000 0.000 0.500
Al2 0.304 0.750 0.803
# **Size of the total moment**: 0.00 μB per cell
# **Total energy**: -4.6502 eV/atom


# DyAg | OQMD via LeMat-Bulk | GGA-PBE | relaxed
data_DyAg
_cell_length_a 6.483
_cell_length_b 6.483
_cell_length_c 6.483
_cell_angle_alpha 90.00
_cell_angle_beta 90.00
_cell_angle_gamma 90.00
_symmetry_space_group_name_H-M 'F -4 3 m'
_symmetry_Int_Tables_number 216
_symmetry_space_group_name_Hall 'F -4 2 3'
loop_
_atom_site_label
_atom_site_fract_x
_atom_site_fract_y
_atom_site_fract_z
Dy1 0.000 0.000 0.000
Ag1 0.250 0.250 0.250
# **Size of the total moment**: 0.00 μB per cell
# **Total energy**: -3.2534 eV/atom
# **Energy of formation from the pure elements**: 0.459 eV per atom


# HfBeReBi | OQMD via LeMat-Bulk | GGA-PBE | relaxed
data_HfBeReBi
_cell_length_a 6.538
_cell_length_b 6.538
_cell_length_c 6.538
_cell_angle_alpha 90.00
_cell_angle_beta 90.00
_cell_angle_gamma 90.00
_symmetry_space_group_name_H-M 'F -4 3 m'
_symmetry_Int_Tables_number 216
_symmetry_space_group_name_Hall 'F -4 2 3'
loop_
_atom_site_label
_atom_site_fract_x
_atom_site_fract_y
_atom_site_fract_z
Hf1 0.000 0.000 0.000
Be1 0.250 0.250 0.250
Re1 0.000 0.000 0.500
Bi1 0.250 0.250 0.750
# **Size of the total moment**: 0.00 μB per cell
# **ΔE to the lowest computed polymorph**: 0.076 eV per atom
# **Total energy**: -6.9693 eV/atom